BaNaTl2Ni | PBE-GGA | optimized geometry

The structure in CIF format:
```
data_BaNaTl2Ni
_symmetry_space_group_name_H-M 'P 1'
_symmetry_Int_Tables_number 1
_symmetry_space_group_name_Hall 'P 1'
_cell_length_a 5.278
_cell_length_b 5.278
_cell_length_c 5.649
_cell_angle_alpha 90.00
_cell_angle_beta 90.00
_cell_angle_gamma 90.00
loop_
_atom_site_label
_atom_site_fract_x
_atom_site_fract_y
_atom_site_fract_z
Ba1 0.000 0.000 0.500
Tl1 0.500 0.000 0.000
Tl2 0.000 0.500 0.000
Ni1 0.000 0.000 0.000
Na1 0.500 0.500 0.500
```

***

Ba2NaTlNi | PBE-GGA | optimized geometry

The structure in CIF format:
```
data_Ba2NaTlNi
_symmetry_space_group_name_H-M 'P 1'
_symmetry_Int_Tables_number 1
_symmetry_space_group_name_Hall 'P 1'
_cell_length_a 6.097
_cell_length_b 6.097
_cell_length_c 5.146
_cell_angle_alpha 90.00
_cell_angle_beta 90.00
_cell_angle_gamma 90.00
loop_
_atom_site_label
_atom_site_fract_x
_atom_site_fract_y
_atom_site_fract_z
Ba1 0.500 0.000 0.000
Ba2 0.000 0.500 0.000
Ni1 0.000 0.000 0.000
Tl1 0.000 0.000 0.500
Na1 0.500 0.500 0.500
```

***

Ba2NaVNi | PBE-GGA | optimized geometry

The structure in CIF format:
```
data_Ba2NaVNi
_symmetry_space_group_name_H-M 'P 1'
_symmetry_Int_Tables_number 1
_symmetry_space_group_name_Hall 'P 1'
_cell_length_a 6.214
_cell_length_b 5.412
_cell_length_c 6.214
_cell_angle_alpha 90.00
_cell_angle_beta 90.00
_cell_angle_gamma 90.00
loop_
_atom_site_label
_atom_site_fract_x
_atom_site_fract_y
_atom_site_fract_z
Ni1 0.500 0.500 0.500
Na1 0.000 0.500 0.000
V1 0.000 0.000 0.000
Ba1 0.000 0.000 0.500
Ba2 0.500 0.000 0.000
```

***

BaNaNiW2 | PBE-GGA | optimized geometry

The structure in CIF format:
```
data_BaNaNiW2
_symmetry_space_group_name_H-M 'P 1'
_symmetry_Int_Tables_number 1
_symmetry_space_group_name_Hall 'P 1'
_cell_length_a 5.299
_cell_length_b 4.962
_cell_length_c 5.299
_cell_angle_alpha 90.00
_cell_angle_beta 90.00
_cell_angle_gamma 90.00
loop_
_atom_site_label
_atom_site_fract_x
_atom_site_fract_y
_atom_site_fract_z
Na1 0.500 0.500 0.500
W1 0.500 0.000 0.000
W2 0.000 0.000 0.500
Ni1 0.000 0.500 0.000
Ba1 0.000 0.000 0.000
```

***

BaNaZn2Ni | PBE-GGA | optimized geometry

The structure in CIF format:
```
data_BaNaZn2Ni
_symmetry_space_group_name_H-M 'P 1'
_symmetry_Int_Tables_number 1
_symmetry_space_group_name_Hall 'P 1'
_cell_length_a 4.841
_cell_length_b 4.841
_cell_length_c 5.211
_cell_angle_alpha 90.00
_cell_angle_beta 90.00
_cell_angle_gamma 90.00
loop_
_atom_site_label
_atom_site_fract_x
_atom_site_fract_y
_atom_site_fract_z
Zn1 0.000 0.500 0.000
Zn2 0.500 0.000 0.000
Na1 0.000 0.000 0.500
Ni1 0.000 0.000 0.000
Ba1 0.500 0.500 0.500
```

***

Ba2NaZnNi | PBE-GGA | optimized geometry

The structure in CIF format:
```
data_Ba2NaZnNi
_symmetry_space_group_name_H-M 'P 1'
_symmetry_Int_Tables_number 1
_symmetry_space_group_name_Hall 'P 1'
_cell_length_a 6.049
_cell_length_b 6.049
_cell_length_c 4.852
_cell_angle_alpha 90.00
_cell_angle_beta 90.00
_cell_angle_gamma 90.00
loop_
_atom_site_label
_atom_site_fract_x
_atom_site_fract_y
_atom_site_fract_z
Na1 0.500 0.500 0.500
Ni1 0.000 0.000 0.000
Zn1 0.000 0.000 0.500
Ba1 0.500 0.000 0.000
Ba2 0.000 0.500 0.000
```

***

| no. | magnetic moment (μB per formula unit) | energy of formation from the pure elements (eV per atom) |
| --- | --- | --- |
| 1 | 0.00 | -0.037 |
| 2 | 0.00 | -0.079 |
| 3 | 5.47 | 1.106 |
| 4 | 4.86 | 3.052 |
| 5 | 0.00 | 0.000 |
| 6 | 0.00 | -0.020 |